Entry 1:
CrMo at its PBEsol-relaxed geometry, computed with meta-GGA SCAN.

Results
Crystal system: monoclinic
Density of states at the Fermi level, states/eV/cell: 2.6
ΔH_f (0 K), kJ/mol of atoms: 10.4
Spin magnetization, μB/f.u.: 0.00

Lattice parameters (Å, degrees): 2.6115 4.2106 4.9281 90.00 100.18 90.00
Last column: nearest neighbours and their distance in Å.
Space group P2_1/m (No. 11)
Asymmetric unit:
1 Cr 0.1288 0.2500 0.3782 (multiplicity 2)  4 Mo 2.51-2.64, 4 Cr 2.57-2.61
2 Mo 0.3770 0.7500 0.1360 (multiplicity 2)  4 Cr 2.51-2.64, 4 Mo 2.61-2.64

***

Entry 2:
Cr2Mo at its PBEsol-relaxed geometry, computed with meta-GGA SCAN.

Results
Crystal system: tetragonal
Relative energy among the computed polymorphs, meV/atom: 798
Density of states at the Fermi level, states/eV/cell: 15.5
ΔH_f (0 K), kJ/mol of atoms: 84.5
Spin magnetization, μB/f.u.: 0.00

Lattice parameters (Å, degrees): 5.5596 5.5596 5.3104 90.00 90.00 90.00
Last column: nearest neighbours and their distance in Å.
Space group I4/mcm (No. 140)
Asymmetric unit:
1 Cr 0.1461 0.3539 0.0000 (multiplicity 8)  1 Cr 2.30, 4 Mo 2.51
2 Mo 0.0000 0.0000 0.2500 (multiplicity 4)  8 Cr 2.51, 2 Mo 2.66

***

Entry 3:
CrMo at its PBEsol-relaxed geometry, computed with meta-GGA SCAN.

Results
Crystal system: orthorhombic
Density of states at the Fermi level, states/eV/cell: 5.2
ΔH_f (0 K), kJ/mol of atoms: 10.6
Spin magnetization, μB/f.u.: 0.00

Lattice parameters (Å, degrees): 3.0013 4.2694 8.3233 90.00 90.00 90.00
Last column: nearest neighbours and their distance in Å.
Space group Cmme (No. 67)
Asymmetric unit:
1 Cr 0.0000 0.2500 0.1105 (multiplicity 4)  6 Cr 2.37-2.61, 2 Mo 2.58
2 Mo 0.0000 0.2500 0.6380 (multiplicity 4)  2 Cr 2.58, 6 Mo 2.61-2.74

***

Entry 4:
Cr4Mo at its PBEsol-relaxed geometry, computed with meta-GGA SCAN.

Results
Crystal system: tetragonal
Relative energy among the computed polymorphs, meV/atom: 644
Density of states at the Fermi level, states/eV/cell: 8.2
ΔH_f (0 K), kJ/mol of atoms: 68.8
Spin magnetization, μB/f.u.: 0.46

Lattice parameters (Å, degrees): 3.6718 3.6718 9.6005 90.00 90.00 90.00
Last column: nearest neighbours and their distance in Å.
Space group I4/mmm (No. 139)
Asymmetric unit:
1 Cr 0.0000 0.0000 0.1141 (multiplicity 4)  5 Cr 2.19-2.25
2 Cr 0.0000 0.5000 0.2500 (multiplicity 4)  4 Cr 2.25
3 Mo 0.0000 0.0000 0.5000 (multiplicity 2)  16 Cr 2.82-3.02

***

Entry 5:
Cr2Mo at its PBEsol-relaxed geometry, computed with meta-GGA SCAN.

Results
Crystal system: tetragonal
Relative energy among the computed polymorphs, meV/atom: 5
Density of states at the Fermi level, states/eV/cell: 3.8
ΔH_f (0 K), kJ/mol of atoms: 8.0
Spin magnetization, μB/f.u.: 0.00

Lattice parameters (Å, degrees): 2.9319 2.9319 8.7795 90.00 90.00 90.00
Last column: nearest neighbours and their distance in Å.
Space group I4/mmm (No. 139)
Asymmetric unit:
1 Cr 0.0000 0.0000 0.1718 (multiplicity 4)  4 Cr 2.49, 4 Mo 2.56
2 Mo 0.0000 0.0000 0.5000 (multiplicity 2)  8 Cr 2.56

***

Entry 6:
Cr5Mo at its PBEsol-relaxed geometry, computed with meta-GGA SCAN.

Results
Crystal system: hexagonal
Relative energy among the computed polymorphs, meV/atom: 373
Density of states at the Fermi level, states/eV/cell: 6.0
ΔH_f (0 K), kJ/mol of atoms: 42.0
Spin magnetization, μB/f.u.: 0.00

Lattice parameters (Å, degrees): 4.6059 4.6059 4.0832 90.00 90.00 120.00
Last column: nearest neighbours and their distance in Å.
Space group P6/mmm (No. 191)
Asymmetric unit:
1 Cr 0.0000 0.5000 0.0000 (multiplicity 3)  8 Cr 2.30-2.44
2 Cr 0.3333 0.6667 0.5000 (multiplicity 2)  9 Cr 2.44-2.66, 3 Mo 2.66
3 Mo 0.0000 0.0000 0.5000 (multiplicity 1)  6 Cr 2.66

***

Entry 7:
Cr2Mo at its PBEsol-relaxed geometry, computed with meta-GGA SCAN.

Results
Crystal system: trigonal
Relative energy among the computed polymorphs, meV/atom: 21
Density of states at the Fermi level, states/eV/cell: 1.6
ΔH_f (0 K), kJ/mol of atoms: 9.6
Spin magnetization, μB/f.u.: 0.00

Lattice parameters (Å, degrees): 4.1236 4.1236 2.5703 90.00 90.00 120.00
Last column: nearest neighbours and their distance in Å.
Space group P-3m1 (No. 164)
Asymmetric unit:
1 Cr 0.3333 0.6667 0.1641 (multiplicity 2)  5 Cr 2.53-2.57, 3 Mo 2.53
2 Mo 0.0000 0.0000 0.5000 (multiplicity 1)  6 Cr 2.53, 2 Mo 2.57

***

Entry 8:
Cr5Mo3 at its PBEsol-relaxed geometry, computed with meta-GGA SCAN.

Results
Crystal system: orthorhombic
Relative energy among the computed polymorphs, meV/atom: 0
Density of states at the Fermi level, states/eV/cell: 9.1
ΔH_f (0 K), kJ/mol of atoms: 1.2
Spin magnetization, μB/f.u.: 0.10

Lattice parameters (Å, degrees): 5.8949 8.3279 8.3375 90.00 90.00 90.00
Last column: nearest neighbours and their distance in Å.
Space group Amm2 (No. 38)
Asymmetric unit:
1 Cr 0.0000 0.0000 0.0000 (multiplicity 2)  6 Cr 2.48-2.53, 2 Mo 2.58
2 Cr 0.0000 0.2452 0.7575 (multiplicity 4)  6 Cr 2.50-2.55, 2 Mo 2.57
3 Cr 0.2432 0.0000 0.7568 (multiplicity 4)  4 Cr 2.48-2.56, 4 Mo 2.49-2.54
4 Cr 0.2439 0.2497 0.0056 (multiplicity 8)  4 Cr 2.52-2.57, 4 Mo 2.53-2.58
5 Cr 0.5000 0.0000 0.5088 (multiplicity 2)  6 Cr 2.56-2.57, 2 Mo 2.59
6 Mo 0.0000 0.0000 0.5130 (multiplicity 2)  6 Cr 2.49-2.53, 2 Mo 2.59
7 Mo 0.2450 0.0000 0.2558 (multiplicity 4)  4 Cr 2.57-2.59, 4 Mo 2.59-2.61
8 Mo 0.5000 0.0000 0.0008 (multiplicity 2)  6 Cr 2.54-2.57, 2 Mo 2.60
9 Mo 0.5000 0.2438 0.7542 (multiplicity 4)  6 Cr 2.53-2.58, 2 Mo 2.61

***

Entry 9:
CrMo at its PBEsol-relaxed geometry, computed with meta-GGA SCAN.

Results
Crystal system: cubic
Density of states at the Fermi level, states/eV/cell: 6.5
ΔH_f (0 K), kJ/mol of atoms: 9.7
Spin magnetization, μB/f.u.: 0.00

Lattice parameters (Å, degrees): 5.9706 5.9706 5.9706 90.00 90.00 90.00
Last column: nearest neighbours and their distance in Å.
Space group Fd-3m (No. 227, origin choice 2)
Asymmetric unit:
1 Cr 0.1250 0.1250 0.1250 (multiplicity 8)  4 Cr 2.59, 4 Mo 2.59
2 Mo 0.1250 0.1250 0.6250 (multiplicity 8)  4 Cr 2.59, 4 Mo 2.59

***

Entry 10:
Cr2Mo at its PBEsol-relaxed geometry, computed with meta-GGA SCAN.

Results
Crystal system: cubic
Relative energy among the computed polymorphs, meV/atom: 64
Density of states at the Fermi level, states/eV/cell: 35.3
ΔH_f (0 K), kJ/mol of atoms: 13.7
Spin magnetization, μB/f.u.: 0.00

Lattice parameters (Å, degrees): 6.7238 6.7238 6.7238 90.00 90.00 90.00
Last column: nearest neighbours and their distance in Å.
Space group Fd-3m (No. 227, origin choice 2)
Asymmetric unit:
1 Cr 0.0000 0.0000 0.0000 (multiplicity 16)  6 Cr 2.38
2 Mo 0.1250 0.1250 0.6250 (multiplicity 8)  12 Cr 2.79, 4 Mo 2.91

***

Entry 11:
Cr2Mo at its PBEsol-relaxed geometry, computed with meta-GGA SCAN.

Results
Crystal system: hexagonal
Relative energy among the computed polymorphs, meV/atom: 73
Density of states at the Fermi level, states/eV/cell: 34.8
ΔH_f (0 K), kJ/mol of atoms: 14.6
Spin magnetization, μB/f.u.: 0.00

Lattice parameters (Å, degrees): 4.7576 4.7576 15.5183 90.00 90.00 120.00
Last column: nearest neighbours and their distance in Å.
Space group P6_3/mmc (No. 194)
Asymmetric unit:
1 Cr 0.0000 0.5000 0.0000 (multiplicity 6)  6 Cr 2.35-2.38
2 Cr 0.1637 0.3275 0.2500 (multiplicity 6)  6 Cr 2.34-2.42
3 Cr 0.3333 0.6667 0.1227 (multiplicity 4)  6 Cr 2.35-2.42
4 Mo 0.0000 0.0000 0.0966 (multiplicity 4)  12 Cr 2.74-2.81, 4 Mo 2.89-3.00
5 Mo 0.3333 0.6667 0.6554 (multiplicity 4)  12 Cr 2.77-2.80, 4 Mo 2.89-2.94

***

Entry 12:
Cr5Mo at its PBEsol-relaxed geometry, computed with meta-GGA SCAN.

Results
Crystal system: orthorhombic
Relative energy among the computed polymorphs, meV/atom: 0
Density of states at the Fermi level, states/eV/cell: 6.8
ΔH_f (0 K), kJ/mol of atoms: 5.9
Spin magnetization, μB/f.u.: 0.05

Lattice parameters (Å, degrees): 2.8805 12.1766 4.0632 90.00 90.00 90.00
Last column: nearest neighbours and their distance in Å.
Space group Cmmm (No. 65)
Asymmetric unit:
1 Cr 0.0000 0.0000 0.0000 (multiplicity 2)  4 Mo 2.49, 4 Cr 2.52
2 Cr 0.0000 0.1717 0.5000 (multiplicity 4)  6 Cr 2.39-2.49, 2 Mo 2.54
3 Cr 0.0000 0.3302 0.0000 (multiplicity 4)  8 Cr 2.43-2.52
4 Mo 0.0000 0.5000 0.5000 (multiplicity 2)  8 Cr 2.49-2.54